(1)
Compound: Nb12Al3Cu
Source: Alexandria
Functional: GGA-PBE
Structure: relaxed

Results
The calculation puts the size of the total moment at 0.0 μB per formula unit. The calculation puts the total energy at -138.238 eV for the cell shown. The calculation puts the formation energy at -0.130 eV/atom. As for the density of states at the Fermi level: 22.06 states/eV per cell.

a = 5.2020 Å, b = 5.2052 Å, c = 10.3638 Å
α = 90.00°, β = 90.00°, γ = 90.00°
Last column: nearest neighbours and their distance in Å.
Space group Pmmm (No. 47)
Inequivalent atoms, fractional coordinates:
Nb 0.0000 0.0000 0.1223 (multiplicity 2)  2 Nb 2.54-2.59
Nb 0.0000 0.0000 0.3718 (multiplicity 2)  2 Nb 2.59-2.66, 2 Al 2.89
Nb 0.2515 0.5000 0.2471 (multiplicity 4)  2 Nb 2.59-2.62, 1 Cu 2.88
Nb 0.5000 0.2476 0.5000 (multiplicity 2)  2 Nb 2.58-2.63, 2 Al 2.88
Nb 0.5000 0.2541 0.0000 (multiplicity 2)  2 Nb 2.56-2.65
Al 0.0000 0.5000 0.5000 (multiplicity 1)  12 Nb 2.91-2.93
Al 0.5000 0.0000 0.2514 (multiplicity 2)  12 Nb 2.88-2.92
Cu 0.0000 0.5000 0.0000 (multiplicity 1)  12 Nb 2.88-2.90

(2)
Compound: Sc2CrIr
Source: Alexandria
Functional: GGA-PBE
Structure: relaxed

Results
The calculation puts the size of the total moment at 3.7 μB per formula unit. The calculation puts the total energy at -64.046 eV for the cell shown. The calculation puts the formation energy at -0.219 eV/atom. As for the density of states at the Fermi level: 7.82 states/eV per cell.

a = 3.9029 Å, b = 3.9029 Å, c = 9.3196 Å
α = 90.00°, β = 90.00°, γ = 90.00°
Last column: nearest neighbours and their distance in Å.
Space group I-4m2 (No. 119)
Inequivalent atoms, fractional coordinates:
Sc 0.0000 0.0000 0.0000 (multiplicity 2)  4 Ir 2.76, 4 Cr 3.04, 4 Sc 3.04
Sc 0.0000 0.5000 0.2500 (multiplicity 2)  4 Cr 2.76, 4 Sc 3.04, 4 Ir 3.04
Cr 0.0000 0.5000 0.7500 (multiplicity 2)  8 Sc 2.76-3.04, 4 Ir 3.04
Ir 0.0000 0.0000 0.5000 (multiplicity 2)  8 Sc 2.76-3.04, 4 Cr 3.04

(3)
Compound: CdCo2P
Source: Alexandria
Functional: GGA-PBE
Structure: relaxed

Results
The calculation puts the size of the total moment at 0.5 μB per formula unit. The calculation puts the total energy at -61.986 eV for the cell shown. The calculation puts the formation energy at -0.031 eV/atom. As for the density of states at the Fermi level: 7.94 states/eV per cell. For the offset from the most stable computed form, the calculation gives 0.1074 eV/atom.

a = 2.8428 Å, b = 2.8428 Å, c = 22.9904 Å
α = 90.00°, β = 90.00°, γ = 120.00°
Last column: nearest neighbours and their distance in Å.
Space group R-3m (No. 166, hexagonal axes)
Inequivalent atoms, fractional coordinates:
Cd 0.0000 0.0000 0.0000 (multiplicity 3)  6 Co 2.83, 6 Cd 2.84
Co 0.0000 0.0000 0.2328 (multiplicity 6)  3 P 2.24
P 0.0000 0.0000 0.5000 (multiplicity 3)  6 Co 2.24

(4)
Compound: TaRuS3
Source: Alexandria
Functional: GGA-PBE
Structure: relaxed

Results
The calculation puts the size of the total moment at 3.3 μB per formula unit. The calculation puts the total energy at -31.454 eV for the cell shown. As for the density of states at the Fermi level: 4.16 states/eV per cell. The calculation puts the uncorrected formation energy at 411 meV per atom. For the offset from the most stable computed form, the calculation gives 0.0000 eV/atom.

a = 4.7586 Å, b = 4.7586 Å, c = 4.7586 Å
α = 90.00°, β = 90.00°, γ = 90.00°
Last column: nearest neighbours and their distance in Å.
Space group Pm-3m (No. 221)
Inequivalent atoms, fractional coordinates:
Ta 0.0000 0.0000 0.0000 (multiplicity 1)  6 S 2.38
Ru 0.5000 0.5000 0.5000 (multiplicity 1)  12 S 3.36
S 0.0000 0.0000 0.5000 (multiplicity 3)  2 Ta 2.38

(5)
Compound: Pr3Y8Er4
Source: Alexandria
Functional: GGA-PBE
Structure: relaxed

Results
The calculation puts the size of the total moment at 0.0 μB per formula unit. The calculation puts the total energy at -156.721 eV for the cell shown. The calculation puts the formation energy at 0.396 eV/atom. As for the density of states at the Fermi level: 59.98 states/eV per cell.

a = 13.4972 Å, b = 12.8591 Å, c = 6.7630 Å
α = 90.00°, β = 119.90°, γ = 90.00°
Last column: nearest neighbours and their distance in Å.
Space group C2/m (No. 12)
Inequivalent atoms, fractional coordinates:
Pr 0.0000 0.0000 0.0000 (multiplicity 2)  6 Y 3.21-3.30
Pr 0.2500 0.2500 0.5000 (multiplicity 4)  4 Y 3.23-3.38, 2 Er 3.38
Y 0.0000 0.1433 0.5000 (multiplicity 4)  7 Y 3.59-3.83, 4 Pr 3.64-3.85, 2 Er 3.65
Y 0.0000 0.2500 0.0000 (multiplicity 4)  3 Er 3.21-3.37, 3 Pr 3.21-3.38
Y 0.2302 0.0000 0.5087 (multiplicity 4)  3 Pr 3.23-3.29, 4 Y 3.25-3.59, 1 Er 3.50
Y 0.2451 0.0000 0.0029 (multiplicity 4)  4 Er 3.22-3.45, 2 Y 3.25-3.53, 1 Pr 3.30
Er 0.0000 0.5000 0.0000 (multiplicity 2)  6 Y 3.21-3.50, 2 Er 3.38
Er 0.0000 0.5000 0.5000 (multiplicity 2)  2 Er 3.38, 4 Y 3.41-3.67
Er 0.2500 0.2500 0.0000 (multiplicity 4)  4 Y 3.22-3.37, 2 Pr 3.38

(6)
Compound: Nd6Te3PbSe2
Source: Alexandria
Functional: GGA-PBE
Structure: relaxed

Results
The calculation puts the size of the total moment at 0.0 μB per formula unit. The calculation puts the total energy at -131.850 eV for the cell shown. As for the density of states at the Fermi level: 8.91 states/eV per cell. The calculation puts the uncorrected formation energy at -1435 meV per atom.

a = 19.4235 Å, b = 4.4068 Å, c = 8.9110 Å
α = 90.00°, β = 104.34°, γ = 90.00°
Last column: nearest neighbours and their distance in Å.
Space group C2/m (No. 12)
Inequivalent atoms, fractional coordinates:
Nd 0.0080 0.0000 0.2515 (multiplicity 4)  1 Se 3.00, 2 Pb 3.12, 3 Te 3.15-3.24
Nd 0.1672 0.5000 0.1045 (multiplicity 4)  2 Se 3.01, 1 Pb 3.15, 3 Te 3.19-3.27
Nd 0.1741 0.5000 0.5684 (multiplicity 4)  3 Se 2.98-3.01, 3 Te 3.26-3.28
Te 0.0000 0.5000 0.5000 (multiplicity 2)  6 Nd 3.15-3.28
Te 0.1640 0.0000 0.8320 (multiplicity 4)  6 Nd 3.19-3.27
Pb 0.0000 0.5000 0.0000 (multiplicity 2)  6 Nd 3.12-3.15
Se 0.1674 0.0000 0.3345 (multiplicity 4)  6 Nd 2.98-3.01

(7)
Compound: CdAg2Hg
Source: Alexandria
Functional: GGA-PBE
Structure: relaxed

Results
The calculation puts the size of the total moment at 0.0 μB per formula unit. The calculation puts the total energy at -20.027 eV for the cell shown. The calculation puts the formation energy at 0.061 eV/atom. As for the density of states at the Fermi level: 3.89 states/eV per cell. For the offset from the most stable computed form, the calculation gives 0.0543 eV/atom.

a = 6.2379 Å, b = 6.2379 Å, c = 7.5498 Å
α = 90.00°, β = 90.00°, γ = 120.00°
Last column: nearest neighbours and their distance in Å.
Space group P3_121 (No. 152)
Inequivalent atoms, fractional coordinates:
Cd 0.0000 0.6363 0.1667 (multiplicity 3)  6 Ag 2.87-3.09, 2 Hg 3.03
Ag 0.1727 0.5437 0.8107 (multiplicity 6)  2 Hg 2.85-2.95, 5 Ag 2.87-3.17, 3 Cd 2.87-3.09
Hg 0.0000 0.8713 0.6667 (multiplicity 3)  4 Ag 2.85-2.95, 2 Hg 2.88, 2 Cd 3.03

(8)
Compound: SmPd2Au2
Source: Alexandria
Functional: GGA-PBE
Structure: relaxed

Results
The calculation puts the size of the total moment at 0.0 μB per formula unit. The calculation puts the total energy at -98.812 eV for the cell shown. The calculation puts the formation energy at -0.609 eV/atom. As for the density of states at the Fermi level: 5.52 states/eV per cell. For the offset from the most stable computed form, the calculation gives 0.0000 eV/atom.

a = 10.3042 Å, b = 4.9962 Å, c = 7.9372 Å
α = 90.00°, β = 110.85°, γ = 90.00°
Last column: nearest neighbours and their distance in Å.
Space group C2/c (No. 15)
Inequivalent atoms, fractional coordinates:
Sm 0.0000 0.1980 0.2500 (multiplicity 4)  6 Pd 2.92-3.09, 6 Au 3.04-3.12
Pd 0.1113 0.3218 0.9626 (multiplicity 8)  2 Pd 2.80-3.12, 5 Au 2.81-3.00, 3 Sm 2.92-3.09
Au 0.1883 0.1962 0.6561 (multiplicity 8)  5 Pd 2.81-3.00, 2 Au 2.95, 3 Sm 3.04-3.12

(9)
Compound: Tb2CrGe4
Source: Alexandria
Functional: GGA-PBE
Structure: relaxed

Results
The calculation puts the size of the total moment at 0.0 μB per formula unit. The calculation puts the total energy at -81.538 eV for the cell shown. The calculation puts the formation energy at -0.488 eV/atom. As for the density of states at the Fermi level: 6.11 states/eV per cell.

a = 4.3165 Å, b = 4.3407 Å, c = 15.3949 Å
α = 90.00°, β = 90.00°, γ = 90.00°
Last column: nearest neighbours and their distance in Å.
Space group Amm2 (No. 38)
Inequivalent atoms, fractional coordinates:
Tb 0.0000 0.0000 0.0000 (multiplicity 2)  10 Ge 3.16-3.30, 4 Cr 3.46
Tb 0.5000 0.0000 0.2013 (multiplicity 2)  1 Cr 2.99, 10 Ge 3.08-3.18
Cr 0.5000 0.0000 0.3953 (multiplicity 2)  5 Ge 2.26-2.39
Ge 0.0000 0.0000 0.3511 (multiplicity 2)  2 Cr 2.26
Ge 0.0000 0.0000 0.6619 (multiplicity 2)  2 Ge 2.76
Ge 0.5000 0.0000 0.5506 (multiplicity 2)  1 Cr 2.39
Ge 0.5000 0.0000 0.8436 (multiplicity 2)  2 Cr 2.31

(10)
Compound: LiZn2Pd8
Source: Alexandria
Functional: GGA-PBE
Structure: relaxed

Results
The calculation puts the size of the total moment at 0.0 μB per formula unit. The calculation puts the total energy at -96.575 eV for the cell shown. The calculation puts the formation energy at -0.208 eV/atom. As for the density of states at the Fermi level: 11.62 states/eV per cell. For the offset from the most stable computed form, the calculation gives 0.0544 eV/atom.

a = 14.0214 Å, b = 5.2605 Å, c = 4.8383 Å
α = 90.00°, β = 108.59°, γ = 90.00°
Last column: nearest neighbours and their distance in Å.
Space group C2/m (No. 12)
Inequivalent atoms, fractional coordinates:
Li 0.0000 0.0000 0.0000 (multiplicity 2)  6 Pd 2.59-2.68
Zn 0.2398 0.5000 0.3649 (multiplicity 4)  7 Pd 2.47-2.60
Pd 0.0849 0.5000 0.9406 (multiplicity 4)  1 Zn 2.47, 3 Pd 2.62-2.68
Pd 0.0949 0.2488 0.4690 (multiplicity 8)  2 Zn 2.56-2.60, 1 Li 2.59, 5 Pd 2.62-2.84
Pd 0.1979 0.0000 0.0750 (multiplicity 4)  2 Zn 2.55-2.57, 1 Li 2.68

(11)
Compound: La3Al2GaPd9
Source: Alexandria
Functional: GGA-PBE
Structure: relaxed

Results
The calculation puts the size of the total moment at 0.0 μB per formula unit. The calculation puts the total energy at -82.408 eV for the cell shown. The calculation puts the formation energy at -0.692 eV/atom. As for the density of states at the Fermi level: 5.30 states/eV per cell.

a = 5.8305 Å, b = 5.8305 Å, c = 10.9293 Å
α = 90.00°, β = 90.00°, γ = 120.00°
Last column: nearest neighbours and their distance in Å.
Space group P-3m1 (No. 164)
Inequivalent atoms, fractional coordinates:
La 0.0000 0.0000 0.0000 (multiplicity 1)  6 Pd 2.92
La 0.3333 0.6667 0.7024 (multiplicity 2)  6 Pd 2.94
Al 0.3333 0.6667 0.1673 (multiplicity 2)  6 Pd 2.46-2.49
Ga 0.0000 0.0000 0.5000 (multiplicity 1)  6 Pd 2.49
Pd 0.0000 0.5000 0.0000 (multiplicity 3)  2 Al 2.49
Pd 0.1667 0.3334 0.3321 (multiplicity 6)  1 Al 2.46, 1 Ga 2.49

(12)
Compound: Nd2Y4Sb3H2
Source: Alexandria
Functional: GGA-PBE
Structure: relaxed

Results
The calculation puts the size of the total moment at 0.0 μB per formula unit. The calculation puts the total energy at -125.860 eV for the cell shown. As for the density of states at the Fermi level: 15.16 states/eV per cell.

a = 4.7078 Å, b = 4.7078 Å, c = 24.7886 Å
α = 90.00°, β = 90.00°, γ = 90.00°
Last column: nearest neighbours and their distance in Å.
Space group I4/mmm (No. 139)
Inequivalent atoms, fractional coordinates:
Nd 0.0000 0.0000 0.1980 (multiplicity 4)  1 H 2.47
Y 0.0000 0.5000 0.0816 (multiplicity 8)  2 H 2.39
Sb 0.0000 0.0000 0.3285 (multiplicity 4)  5 Nd 3.24-3.39, 4 Y 3.24
Sb 0.0000 0.0000 0.5000 (multiplicity 2)  8 Y 3.10
H 0.0000 0.0000 0.0984 (multiplicity 4)  4 Y 2.39, 1 Nd 2.47